A plane-wave DFT calculation with GGA+U was carried out for a relaxed structure of CoSbF3.

Cell lengths 4.510, 4.510, 4.510 Å; angles 90.00, 90.00, 90.00 degrees
Sites, in units of the cell vectors:
F (0.000, 0.500, 0.000)
Sb (0.000, 0.000, 0.000)
Co (0.500, 0.500, 0.500)
F (0.000, 0.000, 0.500)
F (0.500, 0.000, 0.000)

Values from the calculation:
The total magnetic moment comes out at 0.578 μB/atom. The density comes out at 4.3 g cm⁻³. As for the energy above the most stable polymorph in this dataset: 3.25 kcal/mol of atoms. The value obtained for the density of states at the Fermi level is 0.278 states/eV/atom.